Entry from Alexandria: a relaxed structure of SmHO2 (PBE).

```
data_SmHO2
_cell_length_a 3.6549
_cell_length_b 3.6549
_cell_length_c 13.8800
_cell_angle_alpha 90.00
_cell_angle_beta 90.00
_cell_angle_gamma 120.00
_symmetry_space_group_name_H-M 'R -3 m'
_symmetry_Int_Tables_number 166
_symmetry_space_group_name_Hall '-R 3 2"'
loop_
_atom_site_label
_atom_site_type_symbol
_atom_site_fract_x
_atom_site_fract_y
_atom_site_fract_z
Sm1 Sm 0.0000 0.0000 0.0000
H1 H 0.0000 0.0000 0.5000
O1 O 0.0000 0.0000 0.4118
```

Properties
DFT total energy = -6.98 eV/atom
Density of states at the Fermi level = 0.000 states/eV/atom

Entry from Alexandria: a relaxed structure of Nb2VHRu6 (PBE).

```
data_Nb2VHRu6
_cell_length_a 5.2037
_cell_length_b 5.3164
_cell_length_c 6.2006
_cell_angle_alpha 68.59
_cell_angle_beta 87.54
_cell_angle_gamma 63.64
_symmetry_space_group_name_H-M 'P -1'
_symmetry_Int_Tables_number 2
loop_
_symmetry_equiv_pos_as_xyz
'x,y,z'
'-x,-y,-z'
loop_
_atom_site_label
_atom_site_type_symbol
_atom_site_fract_x
_atom_site_fract_y
_atom_site_fract_z
Nb1 Nb 0.2224 0.4932 0.3337
V1 V 0.0000 0.0000 0.5000
H1 H 0.5000 0.0000 0.0000
Ru1 Ru 0.1170 0.0968 0.1079
Ru2 Ru 0.3409 0.4610 0.8364
Ru3 Ru 0.3552 0.0063 0.7226
```

Properties
DFT total energy = -8.78 eV/atom
Density of states at the Fermi level = 0.866 states/eV/atom

Entry from Alexandria: a relaxed structure of CaMnAs2S (PBE).

```
data_CaMnAs2S
_cell_length_a 4.7134
_cell_length_b 4.7134
_cell_length_c 4.8440
_cell_angle_alpha 90.00
_cell_angle_beta 90.00
_cell_angle_gamma 90.00
_symmetry_space_group_name_H-M 'P 4/m m m'
_symmetry_Int_Tables_number 123
_symmetry_space_group_name_Hall '-P 4 2'
loop_
_atom_site_label
_atom_site_type_symbol
_atom_site_fract_x
_atom_site_fract_y
_atom_site_fract_z
Ca1 Ca 0.0000 0.0000 0.0000
Mn1 Mn 0.5000 0.5000 0.5000
As1 As 0.0000 0.5000 0.5000
S1 S 0.5000 0.5000 0.0000
```

Properties
Density of states at the Fermi level = 0.829 states/eV/atom
Raw formation energy = -0.3389 eV per atom

Entry from Alexandria: a relaxed structure of RePdS4 (PBE).

```
data_RePdS4
_cell_length_a 7.7042
_cell_length_b 13.2768
_cell_length_c 5.2773
_cell_angle_alpha 90.00
_cell_angle_beta 127.79
_cell_angle_gamma 90.00
_symmetry_space_group_name_H-M 'C 1 2/c 1'
_symmetry_Int_Tables_number 15
loop_
_symmetry_equiv_pos_as_xyz
'x,y,z'
'-x,-y,-z'
'-x,y,-z+1/2'
'x,-y,z+1/2'
'x+1/2,y+1/2,z'
'-x+1/2,-y+1/2,-z'
'-x+1/2,y+1/2,-z+1/2'
'x+1/2,-y+1/2,z+1/2'
loop_
_atom_site_label
_atom_site_type_symbol
_atom_site_fract_x
_atom_site_fract_y
_atom_site_fract_z
Re1 Re 0.0000 0.0521 0.2500
Pd1 Pd 0.0000 0.3098 0.7500
S1 S 0.1766 0.1994 0.2186
S2 S 0.2364 0.4447 0.1775
```

Properties
Density of states at the Fermi level = 0.673 states/eV/atom
Raw formation energy = -0.1282 eV per atom

Entry from Alexandria: a relaxed structure of ErHBr2 (PBE).

```
data_ErHBr2
_cell_length_a 3.7992
_cell_length_b 3.7992
_cell_length_c 22.6105
_cell_angle_alpha 90.00
_cell_angle_beta 90.00
_cell_angle_gamma 120.00
_symmetry_space_group_name_H-M 'R 3 m'
_symmetry_Int_Tables_number 160
_symmetry_space_group_name_Hall 'R 3 -2"'
loop_
_atom_site_label
_atom_site_type_symbol
_atom_site_fract_x
_atom_site_fract_y
_atom_site_fract_z
Er1 Er 0.0000 0.0000 0.0000
H1 H 0.0000 0.0000 0.6667
Br1 Br 0.0000 0.0000 0.2490
Br2 Br 0.0000 0.0000 0.4176
```

Properties
DFT total energy = -4.32 eV/atom
Density of states at the Fermi level = 0.000 states/eV/atom

Entry from Alexandria: a relaxed structure of Ba2CaBiSb (PBE).

```
data_Ba2CaBiSb
_cell_length_a 6.5425
_cell_length_b 6.5425
_cell_length_c 5.8298
_cell_angle_alpha 90.00
_cell_angle_beta 90.00
_cell_angle_gamma 90.00
_symmetry_space_group_name_H-M 'P 4/m m m'
_symmetry_Int_Tables_number 123
_symmetry_space_group_name_Hall '-P 4 2'
loop_
_atom_site_label
_atom_site_type_symbol
_atom_site_fract_x
_atom_site_fract_y
_atom_site_fract_z
Ba1 Ba 0.0000 0.5000 0.0000
Ca1 Ca 0.0000 0.0000 0.5000
Bi1 Bi 0.5000 0.5000 0.5000
Sb1 Sb 0.0000 0.0000 0.0000
```

Properties
Density of states at the Fermi level = 0.007 states/eV/atom
Raw formation energy = -0.6241 eV per atom

The highest density of states at the Fermi level belongs to which entry? Nb2VHRu6

Which value of density of states at the Fermi level does entry 5 give? 0.000 states/eV/atom